Record 1
{"formula": "PuGa4PdAu2", "functional": "PBE", "state": "relaxed", "formation_energy_ev_per_fu": -2.9, "mass_density_g_cm3": 11.43, "crystal_system": "trigonal", "magmom_total_mub_per_fu": 5.626, "volume_a3_per_atom": 18.58, "lattice": [[2.2032, 1.2720, 8.8387], [-2.2032, 1.2720, 8.8387], [0.0000, -2.5440, 8.8387]], "species": ["Pu", "Ga", "Ga", "Ga", "Ga", "Pd", "Au", "Au"], "fractional_positions": [[0.0000, 0.0000, 0.0000], [0.1317, 0.1317, 0.1317], [0.3962, 0.3962, 0.3962], [0.6038, 0.6038, 0.6038], [0.8683, 0.8683, 0.8683], [0.5000, 0.5000, 0.5000], [0.2460, 0.2460, 0.2460], [0.7540, 0.7540, 0.7540]]}

***

Record 2
{"formula": "Pr2HfCu", "functional": "PBE", "state": "relaxed", "formation_energy_ev_per_fu": 0.3, "mass_density_g_cm3": 8.32, "crystal_system": "tetragonal", "magmom_total_mub_per_fu": 0.000, "volume_a3_per_atom": 26.13, "lattice": [[3.5099, 0.0000, 0.0000], [0.0000, 3.5099, 0.0000], [0.0000, 0.0000, 8.4826]], "species": ["Pr", "Pr", "Hf", "Cu"], "fractional_positions": [[0.0000, 0.0000, 0.2233], [0.0000, 0.0000, 0.7767], [0.5000, 0.5000, 0.5000], [0.5000, 0.5000, 0.0000]]}

***

Record 3
{"formula": "In3SiI", "functional": "PBE", "state": "relaxed", "mass_density_g_cm3": 5.07, "crystal_system": "cubic", "magmom_total_mub_per_fu": 0.000, "volume_a3_per_atom": 32.75, "e_form_raw_mev_per_atom": 150, "lattice": [[5.4708, 0.0000, 0.0000], [0.0000, 5.4708, 0.0000], [0.0000, 0.0000, 5.4708]], "species": ["In", "In", "In", "Si", "I"], "fractional_positions": [[0.0000, 0.0000, 0.5000], [0.0000, 0.5000, 0.0000], [0.5000, 0.0000, 0.0000], [0.0000, 0.0000, 0.0000], [0.5000, 0.5000, 0.5000]]}

***

Record 4
{"formula": "Sc3Hg4", "functional": "PBE", "state": "relaxed", "formation_energy_ev_per_fu": -1.9, "mass_density_g_cm3": 9.94, "crystal_system": "tetragonal", "magmom_total_mub_per_fu": 0.124, "volume_a3_per_atom": 22.37, "lattice": [[3.7546, 0.0000, 0.0000], [0.0000, 3.7546, 0.0000], [0.0000, 0.0000, 22.2158]], "species": ["Sc", "Sc", "Sc", "Sc", "Sc", "Sc", "Hg", "Hg", "Hg", "Hg", "Hg", "Hg", "Hg", "Hg"], "fractional_positions": [[0.0000, 0.0000, 0.0000], [0.0000, 0.0000, 0.2895], [0.0000, 0.0000, 0.7105], [0.5000, 0.5000, 0.2105], [0.5000, 0.5000, 0.5000], [0.5000, 0.5000, 0.7895], [0.0000, 0.0000, 0.1464], [0.0000, 0.0000, 0.4301], [0.0000, 0.0000, 0.5699], [0.0000, 0.0000, 0.8536], [0.5000, 0.5000, 0.0699], [0.5000, 0.5000, 0.3536], [0.5000, 0.5000, 0.6464], [0.5000, 0.5000, 0.9301]]}

***

Record 5
{"formula": "Rb2TlBiF", "functional": "PBE", "state": "relaxed", "mass_density_g_cm3": 5.89, "crystal_system": "tetragonal", "magmom_total_mub_per_fu": 0.000, "volume_a3_per_atom": 34.01, "e_form_raw_mev_per_atom": -1033, "lattice": [[5.2781, 0.0000, 0.0000], [0.0000, 5.2781, 0.0000], [0.0000, 0.0000, 6.1038]], "species": ["Rb", "Rb", "Tl", "Bi", "F"], "fractional_positions": [[0.0000, 0.5000, 0.0000], [0.5000, 0.0000, 0.0000], [0.0000, 0.0000, 0.5000], [0.5000, 0.5000, 0.5000], [0.0000, 0.0000, 0.0000]]}

***

Record 6
{"formula": "Rb2UTlCl6", "functional": "PBE", "state": "relaxed", "mass_density_g_cm3": 3.40, "crystal_system": "orthorhombic", "magmom_total_mub_per_fu": 3.000, "volume_a3_per_atom": 40.37, "e_form_raw_mev_per_atom": -1656, "lattice": [[7.8760, 0.0000, 0.0000], [0.0000, 11.5667, 0.0000], [0.0000, 0.0000, 8.8637]], "species": ["Rb", "Rb", "Rb", "Rb", "U", "U", "Tl", "Tl", "Cl", "Cl", "Cl", "Cl", "Cl", "Cl", "Cl", "Cl", "Cl", "Cl", "Cl", "Cl"], "fractional_positions": [[0.2500, 0.0533, 0.1715], [0.2500, 0.4467, 0.1715], [0.7500, 0.5533, 0.8285], [0.7500, 0.9467, 0.8285], [0.2500, 0.7500, 0.7987], [0.7500, 0.2500, 0.2013], [0.2500, 0.2500, 0.6943], [0.7500, 0.7500, 0.3057], [0.0085, 0.7500, 0.0253], [0.0181, 0.2500, 0.3969], [0.2500, 0.5124, 0.8055], [0.2500, 0.9876, 0.8055], [0.4819, 0.2500, 0.3969], [0.4915, 0.7500, 0.0253], [0.5085, 0.2500, 0.9747], [0.5181, 0.7500, 0.6031], [0.7500, 0.0124, 0.1945], [0.7500, 0.4876, 0.1945], [0.9819, 0.7500, 0.6031], [0.9915, 0.2500, 0.9747]]}

***

Record 7
{"formula": "K2NaCrBr6", "functional": "PBE", "state": "relaxed", "mass_density_g_cm3": 3.39, "crystal_system": "monoclinic", "magmom_total_mub_per_fu": 3.000, "volume_a3_per_atom": 31.02, "e_form_raw_mev_per_atom": -1308, "lattice": [[7.4970, 0.0000, 0.0000], [0.0000, 7.7262, 0.0000], [-7.4606, 0.0000, 10.7117]], "species": ["K", "K", "K", "K", "Na", "Na", "Cr", "Cr", "Br", "Br", "Br", "Br", "Br", "Br", "Br", "Br", "Br", "Br", "Br", "Br"], "fractional_positions": [[0.2292, 0.0677, 0.2481], [0.2292, 0.4323, 0.7481], [0.7708, 0.5677, 0.2519], [0.7708, 0.9323, 0.7519], [0.5000, 0.0000, 0.0000], [0.5000, 0.5000, 0.5000], [0.0000, 0.0000, 0.5000], [0.0000, 0.5000, 0.0000], [0.1369, 0.2242, 0.9594], [0.1369, 0.2758, 0.4594], [0.2342, 0.6815, 0.9573], [0.2342, 0.8185, 0.4573], [0.3120, 0.0120, 0.7293], [0.3120, 0.4880, 0.2293], [0.6880, 0.5120, 0.7707], [0.6880, 0.9880, 0.2707], [0.7658, 0.1815, 0.5427], [0.7658, 0.3185, 0.0427], [0.8631, 0.7242, 0.5406], [0.8631, 0.7758, 0.0406]]}

***

Record 8
{"formula": "CaZn2Cl", "functional": "PBE", "state": "relaxed", "mass_density_g_cm3": 3.78, "crystal_system": "cubic", "magmom_total_mub_per_fu": 0.001, "volume_a3_per_atom": 22.66, "e_form_raw_mev_per_atom": -401, "lattice": [[7.1309, 0.0000, 0.0000], [0.0000, 7.1309, 0.0000], [0.0000, 0.0000, 7.1309]], "species": ["Ca", "Ca", "Ca", "Ca", "Zn", "Zn", "Zn", "Zn", "Zn", "Zn", "Zn", "Zn", "Cl", "Cl", "Cl", "Cl"], "fractional_positions": [[0.0000, 0.0000, 0.0000], [0.0000, 0.5000, 0.5000], [0.5000, 0.0000, 0.5000], [0.5000, 0.5000, 0.0000], [0.0000, 0.0000, 0.5000], [0.0000, 0.5000, 0.0000], [0.2500, 0.2500, 0.2500], [0.2500, 0.7500, 0.7500], [0.5000, 0.0000, 0.0000], [0.5000, 0.5000, 0.5000], [0.7500, 0.2500, 0.7500], [0.7500, 0.7500, 0.2500], [0.2500, 0.2500, 0.7500], [0.2500, 0.7500, 0.2500], [0.7500, 0.2500, 0.2500], [0.7500, 0.7500, 0.7500]]}